PmPuAsSe: relaxed, GGA-PBE.

CIF file:
```
data_PmPuAsSe
_chemical_formula_sum 'Pm3 Pu3 As3 Se3'
_cell_length_a 4.1973
_cell_length_b 4.1973
_cell_length_c 20.4275
_cell_angle_alpha 90.00
_cell_angle_beta 90.00
_cell_angle_gamma 120.00
_space_group_name_H-M_alt 'R 3 m'
_space_group_IT_number 160
_space_group_name_Hall 'R 3 -2"'
loop_
_atom_site_label
_atom_site_type_symbol
_atom_site_fract_x
_atom_site_fract_y
_atom_site_fract_z
Pm1 Pm 0.0000 0.0000 0.0000
Pu1 Pu 0.0000 0.0000 0.5039
As1 As 0.0000 0.0000 0.2503
Se1 Se 0.0000 0.0000 0.7544
```

Results
Magnetization = 1.380 μB/atom
Density of states at the Fermi level = 10.08 states/eV/f.u.
Raw formation energy = -1.5307 eV/atom
Energy relative to the lowest polymorph listed for this composition = 0.00 eV/f.u.